First-principles (GGA-PBE) data for Pm2Ho5Sc5 after structural relaxation, as listed in Alexandria via LeMat-Bulk.

## Properties
Its total magnetization is 0.0 μB/cell. As for the space group: C2/m. The calculation puts the density of states at the Fermi level at 18.12 states/eV/f.u. The value obtained for the formation energy is 0.05 eV/atom. As for the raw total energy: -5.2842 eV/atom.

a = 4.8540 Å, b = 7.6900 Å, c = 10.8580 Å
α = 115.13°, β = 90.00°, γ = 108.40°
Fractional coordinates of all 12 atoms:
Ho 0.5000 0.0000 0.5000
Pm 0.0833 0.1667 0.7453
Sc 0.1714 0.3427 0.5014
Ho 0.5884 0.1768 0.2524
Sc 0.7512 0.5025 0.7467
Sc 0.0000 0.0000 0.0000
Ho 0.6648 0.3295 0.9999
Ho 0.4116 0.8232 0.7476
Sc 0.8286 0.6573 0.4986
Pm 0.9167 0.8333 0.2547
Sc 0.2488 0.4975 0.2533
Ho 0.3352 0.6705 0.0001

First-principles (GGA-PBE) data for BaAsBr6 after structural relaxation, as listed in Alexandria via LeMat-Bulk.

## Properties
Its total magnetization is 0.0 μB/cell. As for the space group: P-1. The calculation puts the density of states at the Fermi level at 5.52 states/eV/f.u. As for the raw total energy: -2.9758 eV/atom.

a = 6.9939 Å, b = 7.0668 Å, c = 7.7060 Å
α = 63.31°, β = 63.26°, γ = 60.01°
Fractional coordinates of all 8 atoms:
As 0.0000 0.0000 0.0000
Br 0.4053 0.8056 0.7769
Ba 0.5000 0.5000 0.5000
Br 0.8056 0.0118 0.7759
Br 0.0132 0.4005 0.7745
Br 0.5947 0.1944 0.2231
Br 0.1944 0.9882 0.2241
Br 0.9868 0.5995 0.2255

First-principles (GGA-PBE) data for Tb2Dy5Ho5 after structural relaxation, as listed in Alexandria via LeMat-Bulk.

## Properties
Its total magnetization is 0.0 μB/cell. As for the space group: C2/m. The calculation puts the density of states at the Fermi level at 15.25 states/eV/f.u. The value obtained for the formation energy is 0.02 eV/atom. As for the raw total energy: -4.5793 eV/atom.

a = 4.9940 Å, b = 7.8890 Å, c = 11.1540 Å
α = 115.10°, β = 90.00°, γ = 108.45°
Fractional coordinates of all 12 atoms:
Dy 0.2496 0.4991 0.2495
Dy 0.8334 0.6669 0.5002
Ho 0.6668 0.3335 0.0001
Ho 0.5000 0.0000 0.5000
Tb 0.9168 0.8335 0.2500
Ho 0.3332 0.6665 0.9999
Tb 0.0832 0.1665 0.7500
Ho 0.4166 0.8331 0.7501
Dy 0.1666 0.3331 0.4998
Dy 0.0000 0.0000 0.0000
Dy 0.7504 0.5009 0.7505
Ho 0.5834 0.1669 0.2499